# ScAlVP2 PBE-GGA relaxed
# Formation energy from the elements, kJ per mole of atoms: 22.9
# Raw total energy, eV per atom: -5.765
# Density of states at the Fermi level, states/eV/f.u.: 3.21
data_ScAlVP2
_space_group_name_H-M_alt 'P 1'
_space_group_IT_number 1
_cell_length_a 4.5434
_cell_length_b 4.8138
_cell_length_c 4.5434
_cell_angle_alpha 90.00
_cell_angle_beta 90.00
_cell_angle_gamma 90.00
loop_
_space_group_symop_operation_xyz
'x,y,z'
loop_
_atom_site_label
_atom_site_fract_x
_atom_site_fract_y
_atom_site_fract_z
_atom_site_occupancy
Sc1 0.0000 0.5000 0.0000 1
Al1 0.5000 0.5000 0.5000 1
P1 0.0000 0.0000 0.5000 1
P2 0.5000 0.0000 0.0000 1
V1 0.0000 0.0000 0.0000 1

***

# KBrNF2 PBE-GGA relaxed
# Formation energy (no corrections), meV/atom: 321.8
# E above lowest polymorph, eV/atom: 0.735
# Raw total energy, eV per atom: -2.646
# Density of states at the Fermi level, states/eV/f.u.: 7.76
data_KBrNF2
_space_group_name_H-M_alt 'P 1'
_space_group_IT_number 1
_cell_length_a 5.0659
_cell_length_b 5.0659
_cell_length_c 5.4360
_cell_angle_alpha 90.00
_cell_angle_beta 90.00
_cell_angle_gamma 90.00
loop_
_space_group_symop_operation_xyz
'x,y,z'
loop_
_atom_site_label
_atom_site_fract_x
_atom_site_fract_y
_atom_site_fract_z
_atom_site_occupancy
F1 0.0000 0.5000 0.0000 1
F2 0.5000 0.0000 0.0000 1
K1 0.0000 0.0000 0.0000 1
Br1 0.5000 0.5000 0.5000 1
N1 0.0000 0.0000 0.5000 1

***

# LaNd4Hg2 PBE-GGA relaxed
# Formation energy from the elements, kJ per mole of atoms: -18.8
# E above lowest polymorph, eV/atom: 0.000
# Raw total energy, eV per atom: -3.709
# Density of states at the Fermi level, states/eV/f.u.: 8.15
data_LaNd4Hg2
_space_group_name_H-M_alt 'P 1'
_space_group_IT_number 1
_cell_length_a 9.6508
_cell_length_b 9.2483
_cell_length_c 9.7089
_cell_angle_alpha 142.51
_cell_angle_beta 120.70
_cell_angle_gamma 73.45
loop_
_space_group_symop_operation_xyz
'x,y,z'
loop_
_atom_site_label
_atom_site_fract_x
_atom_site_fract_y
_atom_site_fract_z
_atom_site_occupancy
Nd1 0.5888 0.6388 0.2869 1
Nd2 0.8393 0.7924 0.2075 1
Nd3 0.0596 0.2140 0.3639 1
Nd4 0.8046 0.5955 0.6842 1
Nd5 0.2834 0.9019 0.5271 1
Nd6 0.8334 0.2069 0.8790 1
Nd7 0.2597 0.7686 0.0506 1
Nd8 0.4586 0.7102 0.7856 1
Hg1 0.6706 0.1391 0.0489 1
Hg2 0.4565 0.3122 0.7188 1
Hg3 0.0577 0.3389 0.8154 1
Hg4 0.6060 0.1494 0.4260 1
La1 0.0253 0.7190 0.5675 1
La2 0.3065 0.2631 0.1385 1

***

# Ba2CoIr PBE-GGA relaxed
# Formation energy from the elements, kJ per mole of atoms: -4.7
# E above lowest polymorph, eV/atom: 0.000
# Raw total energy, eV per atom: -5.002
# Density of states at the Fermi level, states/eV/f.u.: 4.00
data_Ba2CoIr
_space_group_name_H-M_alt 'P 1'
_space_group_IT_number 1
_cell_length_a 8.9521
_cell_length_b 8.9521
_cell_length_c 8.9521
_cell_angle_alpha 27.66
_cell_angle_beta 27.66
_cell_angle_gamma 27.66
loop_
_space_group_symop_operation_xyz
'x,y,z'
loop_
_atom_site_label
_atom_site_fract_x
_atom_site_fract_y
_atom_site_fract_z
_atom_site_occupancy
Ba1 0.0418 0.0418 0.0418 1
Ba2 0.2082 0.2082 0.2082 1
Ir1 0.7918 0.7918 0.7918 1
Co1 0.4582 0.4582 0.4582 1

***

# Ir3Pb PBE-GGA relaxed
# Formation energy from the elements, kJ per mole of atoms: 44.4
# Raw total energy, eV per atom: -7.112
# Density of states at the Fermi level, states/eV/f.u.: 2.82
data_Ir3Pb
_space_group_name_H-M_alt 'P 1'
_space_group_IT_number 1
_cell_length_a 4.8682
_cell_length_b 4.8682
_cell_length_c 2.9185
_cell_angle_alpha 90.00
_cell_angle_beta 90.00
_cell_angle_gamma 106.78
loop_
_space_group_symop_operation_xyz
'x,y,z'
loop_
_atom_site_label
_atom_site_fract_x
_atom_site_fract_y
_atom_site_fract_z
_atom_site_occupancy
Ir1 0.0000 0.5000 0.5000 1
Ir2 0.5000 0.5000 0.0000 1
Ir3 0.5000 0.0000 0.5000 1
Pb1 0.0000 0.0000 0.0000 1

***

# MoOs2W PBE-GGA relaxed
# Formation energy from the elements, kJ per mole of atoms: 6.1
# E above lowest polymorph, eV/atom: 0.000
# Raw total energy, eV per atom: -11.498
# Density of states at the Fermi level, states/eV/f.u.: 3.06
data_MoOs2W
_space_group_name_H-M_alt 'P 1'
_space_group_IT_number 1
_cell_length_a 2.8046
_cell_length_b 2.8046
_cell_length_c 7.7231
_cell_angle_alpha 90.00
_cell_angle_beta 90.00
_cell_angle_gamma 90.00
loop_
_space_group_symop_operation_xyz
'x,y,z'
loop_
_atom_site_label
_atom_site_fract_x
_atom_site_fract_y
_atom_site_fract_z
_atom_site_occupancy
Os1 0.0000 0.0000 0.5006 1
Os2 0.0000 0.0000 0.9994 1
W1 0.5000 0.5000 0.2500 1
Mo1 0.5000 0.5000 0.7500 1

***

# Hg2Se2I PBE-GGA relaxed
# Formation energy (no corrections), meV/atom: 153.1
# E above lowest polymorph, eV/atom: 0.249
# Raw total energy, eV per atom: -1.671
# Density of states at the Fermi level, states/eV/f.u.: 3.85
data_Hg2Se2I
_space_group_name_H-M_alt 'P 1'
_space_group_IT_number 1
_cell_length_a 3.9746
_cell_length_b 3.9746
_cell_length_c 9.3375
_cell_angle_alpha 77.71
_cell_angle_beta 77.71
_cell_angle_gamma 90.00
loop_
_space_group_symop_operation_xyz
'x,y,z'
loop_
_atom_site_label
_atom_site_fract_x
_atom_site_fract_y
_atom_site_fract_z
_atom_site_occupancy
Se1 0.7500 0.2500 0.5000 1
Se2 0.2500 0.7500 0.5000 1
Hg1 0.3953 0.3953 0.2094 1
Hg2 0.6047 0.6047 0.7906 1
I1 0.0000 0.0000 0.0000 1

***

# Ba2Ga2Se5 PBE-GGA relaxed
# Formation energy (no corrections), meV/atom: -1118.7
# Raw total energy, eV per atom: -4.155
data_Ba2Ga2Se5
_space_group_name_H-M_alt 'P 1'
_space_group_IT_number 1
_cell_length_a 5.5484
_cell_length_b 7.3625
_cell_length_c 7.4521
_cell_angle_alpha 105.97
_cell_angle_beta 90.00
_cell_angle_gamma 112.14
loop_
_space_group_symop_operation_xyz
'x,y,z'
loop_
_atom_site_label
_atom_site_fract_x
_atom_site_fract_y
_atom_site_fract_z
_atom_site_occupancy
Ga1 0.8427 0.6854 0.1251 1
Ga2 0.1573 0.3146 0.8749 1
Se1 0.6713 0.3427 0.8994 1
Se2 0.8582 0.7163 0.4512 1
Se3 0.0000 0.0000 0.0000 1
Se4 0.3287 0.6573 0.1006 1
Se5 0.1418 0.2837 0.5488 1
Ba1 0.6062 0.2123 0.2980 1
Ba2 0.3938 0.7877 0.7020 1

***

# Tb4NdEr2Mg PBE-GGA relaxed
# Formation energy from the elements, kJ per mole of atoms: 8.7
# Raw total energy, eV per atom: -4.161
# Density of states at the Fermi level, states/eV/f.u.: 14.30
data_Tb4NdEr2Mg
_space_group_name_H-M_alt 'P 1'
_space_group_IT_number 1
_cell_length_a 5.7767
_cell_length_b 9.4231
_cell_length_c 5.7713
_cell_angle_alpha 52.26
_cell_angle_beta 90.09
_cell_angle_gamma 90.06
loop_
_space_group_symop_operation_xyz
'x,y,z'
loop_
_atom_site_label
_atom_site_fract_x
_atom_site_fract_y
_atom_site_fract_z
_atom_site_occupancy
Tb1 0.0000 0.7472 0.7523 1
Tb2 0.5000 0.7470 0.2535 1
Tb3 0.0000 0.2528 0.2477 1
Tb4 0.5000 0.2530 0.7465 1
Er1 0.5000 0.0000 0.5000 1
Er2 0.0000 0.0000 0.0000 1
Mg1 0.0000 0.5000 0.5000 1
Nd1 0.5000 0.5000 0.0000 1

***

# KCoNi3 PBE-GGA relaxed
# Formation energy from the elements, kJ per mole of atoms: 84.5
# E above lowest polymorph, eV/atom: 0.000
# Raw total energy, eV per atom: -4.233
# Density of states at the Fermi level, states/eV/f.u.: 4.75
data_KCoNi3
_space_group_name_H-M_alt 'P 1'
_space_group_IT_number 1
_cell_length_a 4.4815
_cell_length_b 4.4815
_cell_length_c 4.4815
_cell_angle_alpha 90.00
_cell_angle_beta 90.00
_cell_angle_gamma 90.00
loop_
_space_group_symop_operation_xyz
'x,y,z'
loop_
_atom_site_label
_atom_site_fract_x
_atom_site_fract_y
_atom_site_fract_z
_atom_site_occupancy
Co1 0.0000 0.0000 0.0000 1
K1 0.5000 0.5000 0.5000 1
Ni1 0.0000 0.5000 0.0000 1
Ni2 0.5000 0.0000 0.0000 1
Ni3 0.0000 0.0000 0.5000 1